A plane-wave DFT calculation with GGA-PBE was carried out for a relaxed La5Cd2Tc2 crystal.

a b c (Å): 17.5431 7.7227 7.8137
angles (deg): 90.00 90.00 90.00
Closest atoms and distances in Å follow each position.
Space group Cmce (No. 64)
Symmetry-distinct sites (fractional):
1 La 0.0000 0.0000 0.0000 [4 per cell]  4 Tc 3.01-3.30
2 La 0.1212 0.1848 0.3145 [16 per cell]  3 Tc 3.09-3.26, 3 Cd 3.35-3.40
3 Cd 0.2272 0.0000 0.0000 [8 per cell]  6 La 3.35-3.40
4 Tc 0.0000 0.1219 0.5954 [8 per cell]  1 Tc 2.40

Values from the calculation:
- Formation energy from the elements: -1.99 kcal/mol of atoms
- Total magnetization: 0.0 Bohr magnetons per cell
- Total DFT energy (no corrections): -0.392 Ry per atom